Below is VTc3F after structural relaxation, with properties calculated at the GGA+U level.

The structure belongs to space group Pm-3m (No. 221); the cell edges are 4.170, 4.170 and 4.170 Å and the angles 90.00°, 90.00° and 90.00°. The distinct sites, in fractional coordinates, are V at (0.000, 0.000, 0.000), Tc at (0.000, 0.500, 0.500) and F at (0.500, 0.500, 0.500).

The magnetization is 0.04 μB per atom. Its offset from the most stable computed form is 0 meV/atom. The total energy is -0.5202 Ry/atom.